A plane-wave DFT calculation with GGA-PBE was carried out for a relaxed structure of NaLaTaW2.

Cell: 4.904 4.904 5.697 Å, 90.00 90.00 90.00°
Fractional coordinates of all 5 atoms:
1 Na 0.000 0.000 0.000
2 La 0.500 0.500 0.000
3 Ta 0.500 0.500 0.500
4 W 0.000 0.500 0.500
5 W 0.500 0.000 0.500

Summary:
ΔH_f (0 K)   1.616 eV/atom
Symmetry   No. 123

=====

A plane-wave DFT calculation with GGA-PBE was carried out for a relaxed structure of Ba5Tl2Bi.

Cell: 10.766 10.766 10.766 Å, 129.78 129.78 73.76°
Fractional coordinates of all 16 atoms:
1 Ba 0.000 0.000 0.000
2 Ba 0.024 0.524 0.841
3 Ba 0.182 0.024 0.500
4 Ba 0.318 0.818 0.841
5 Ba 0.476 0.318 0.500
6 Ba 0.500 0.500 0.000
7 Ba 0.524 0.682 0.500
8 Ba 0.682 0.182 0.159
9 Ba 0.818 0.976 0.500
10 Ba 0.976 0.476 0.159
11 Tl 0.122 0.378 0.500
12 Tl 0.378 0.878 0.255
13 Tl 0.622 0.122 0.745
14 Tl 0.878 0.622 0.500
15 Bi 0.250 0.250 0.000
16 Bi 0.750 0.750 0.000

Summary:
ΔH_f (0 K)   -0.500 eV/atom
Symmetry   No. 140

=====

A plane-wave DFT calculation with GGA-PBE was carried out for a relaxed structure of InGaO2.

Cell: 4.171 4.171 4.171 Å, 60.00 60.00 60.00°
Fractional coordinates of all 4 atoms:
1 In 0.000 0.000 0.000
2 Ga 0.500 0.500 0.500
3 O 0.250 0.250 0.250
4 O 0.750 0.750 0.750

Summary:
Energy relative to the elements, uncorrected   -10.1 kcal/mol of atoms
Symmetry   No. 225

=====

no.,spin magnetization (μB/atom)
1,0.00
2,0.05
3,0.00